1:
La2CO5 at its PBEsol-relaxed geometry, computed with meta-GGA SCAN.

Values from the calculation:
As for the space group: No. 15. The total magnetic moment comes out at 0.00 μB/cell.

Unit cell a=6.9949 b=6.9949 c=16.3820 alpha=77.68 beta=77.68 gamma=60.01
Element x y z (fractional)
C  0.1944  0.8056  0.7500
C  0.9715  0.4158  0.7502
C  0.4158  0.9715  0.2502
C  0.8056  0.1944  0.2500
C  0.0285  0.5842  0.2498
C  0.5842  0.0285  0.7498
O  0.4825  0.6508  0.0524
O  0.1554  0.4149  0.7515
O  0.5597  0.0906  0.8220
O  0.3925  0.8563  0.3211
O  0.6508  0.4825  0.5524
O  0.9094  0.4403  0.6780
O  0.6928  0.2595  0.3215
O  0.0211  0.1846  0.4414
O  0.1455  0.3142  0.0589
O  0.0105  0.9895  0.7500
O  0.8446  0.5851  0.2485
O  0.7405  0.3072  0.1785
O  0.3142  0.1455  0.5589
O  0.5175  0.3492  0.9476
O  0.8563  0.3925  0.8211
O  0.5851  0.8446  0.7485
O  0.2595  0.6928  0.8215
O  0.1846  0.0211  0.9414
O  0.8545  0.6858  0.9411
O  0.6858  0.8545  0.4411
O  0.9895  0.0105  0.2500
O  0.6075  0.1437  0.6789
O  0.9789  0.8154  0.5586
O  0.1437  0.6075  0.1789
O  0.0906  0.5597  0.3220
O  0.3072  0.7405  0.6785
O  0.4149  0.1554  0.2515
O  0.4403  0.9094  0.1780
O  0.8154  0.9789  0.0586
O  0.3492  0.5175  0.4476
La  0.7971  0.6355  0.0943
La  0.5321  0.6948  0.9033
La  0.8607  0.0355  0.9054
La  0.2029  0.3645  0.9057
La  0.3052  0.4679  0.5967
La  0.1393  0.9645  0.0946
La  0.3645  0.2029  0.4057
La  0.9645  0.1393  0.5946
La  0.4679  0.3052  0.0967
La  0.6948  0.5321  0.4033
La  0.0355  0.8607  0.4054
La  0.6355  0.7971  0.5943

2:
La2CO5 at its PBEsol-relaxed geometry, computed with meta-GGA SCAN.

Values from the calculation:
As for the space group: No. 40. The total magnetic moment comes out at 0.00 μB/cell.

Unit cell a=4.0209 b=4.0209 c=15.9006 alpha=90.00 beta=90.00 gamma=119.13
Element x y z (fractional)
La  0.6621  0.3275  0.4049
La  0.3275  0.6621  0.9049
La  0.3275  0.6621  0.5951
La  0.6621  0.3275  0.0951
O  0.3262  0.6612  0.4435
O  0.2588  0.5073  0.7500
O  0.9794  0.9673  0.6780
O  0.5073  0.2588  0.2500
O  0.3262  0.6612  0.0565
O  0.6612  0.3262  0.5565
O  0.6612  0.3262  0.9435
O  0.9673  0.9794  0.1780
O  0.9673  0.9794  0.3220
O  0.9794  0.9673  0.8220
C  0.0696  0.1421  0.7500
C  0.1421  0.0696  0.2500

Most stable to least stable, the ends of the list are 1 and 2.

1:
LaSbTe2C at its PBEsol-relaxed geometry, computed with meta-GGA SCAN.

Values from the calculation:
As for the space group: No. 123. The total magnetic moment comes out at 0.00 μB/cell.

Unit cell a=4.8068 b=4.9104 c=4.9104 alpha=90.00 beta=90.00 gamma=90.00
Element x y z (fractional)
Te  0.0000  0.5000  0.0000
Te  0.0000  0.0000  0.5000
C  0.0000  0.0000  0.0000
Sb  0.5000  0.0000  0.0000
La  0.5000  0.5000  0.5000

2:
LaSbTe2C at its PBEsol-relaxed geometry, computed with meta-GGA SCAN.

Values from the calculation:
As for the space group: No. 123. The total magnetic moment comes out at 0.24 μB/cell.

Unit cell a=6.0145 b=6.0145 c=6.1153 alpha=90.00 beta=90.00 gamma=90.00
Last column: magnetic moment on the atom in μB.
Element x y z (fractional)
C  0.5000  0.5000  0.5000  0.95
La  0.0000  0.0000  0.0000  -0.05
Te  0.5000  0.0000  0.0000  -0.24
Te  0.0000  0.5000  0.0000  -0.24
Sb  0.0000  0.0000  0.5000  -0.51

Most stable to least stable, the ends of the list are 1 and 2.

1:
SrLaC2 at its PBEsol-relaxed geometry, computed with meta-GGA SCAN.

Values from the calculation:
As for the space group: No. 122. The total magnetic moment comes out at 5.90 μB/cell.

Unit cell a=6.0666 b=6.0666 c=6.0666 alpha=78.42 beta=66.45 gamma=113.55
Last column: magnetic moment on the atom in μB.
Element x y z (fractional)
C  0.5313  0.6250  0.3437  -0.68
C  0.4687  0.1250  0.9063  -0.68
C  0.9687  0.3437  0.1250  -0.68
C  0.0313  0.9063  0.6250  -0.68
Sr  0.0000  0.5000  0.5000  -0.07
Sr  0.5000  0.7500  0.7500  -0.07
La  0.5000  0.2500  0.2500  -0.26
La  0.0000  0.0000  0.0000  -0.26

2:
SrLaC2 at its PBEsol-relaxed geometry, computed with meta-GGA SCAN.

Values from the calculation:
As for the space group: No. 225. The total magnetic moment comes out at 0.00 μB/cell.

Unit cell a=4.6049 b=4.6049 c=4.6049 alpha=60.00 beta=60.00 gamma=60.00
Element x y z (fractional)
La  0.5000  0.5000  0.5000
Sr  0.0000  0.0000  0.0000
C  0.2500  0.2500  0.2500
C  0.7500  0.7500  0.7500

Most stable to least stable, the ends of the list are 1 and 2.

1:
LiC3 at its PBEsol-relaxed geometry, computed with meta-GGA SCAN.

Values from the calculation:
As for the space group: No. 65. The total magnetic moment comes out at 0.00 μB/cell.

Unit cell a=2.4677 b=3.1522 c=5.1481 alpha=90.00 beta=90.00 gamma=113.04
Element x y z (fractional)
C  0.0000  0.0000  0.1656
C  0.5000  0.0000  0.0000
C  0.0000  0.0000  0.8344
Li  0.5000  0.0000  0.5000

2:
LiC3 at its PBEsol-relaxed geometry, computed with meta-GGA SCAN.

Values from the calculation:
As for the space group: No. 123. The total magnetic moment comes out at 0.00 μB/cell.

Unit cell a=2.5896 b=2.5896 c=4.5651 alpha=90.00 beta=90.00 gamma=90.00
Element x y z (fractional)
C  0.0000  0.0000  0.1528
C  0.5000  0.5000  0.0000
C  0.0000  0.0000  0.8472
Li  0.5000  0.5000  0.5000

Most stable to least stable, the ends of the list are 1 and 2.

1:
MgC4 at its PBEsol-relaxed geometry, computed with meta-GGA SCAN.

Values from the calculation:
As for the space group: No. 139. The total magnetic moment comes out at 0.00 μB/cell.

Unit cell a=3.2686 b=3.2686 c=4.3957 alpha=111.83 beta=111.83 gamma=90.00
Element x y z (fractional)
C  0.7500  0.2500  0.5000
C  0.6989  0.6989  0.3977
C  0.3011  0.3011  0.6023
C  0.2500  0.7500  0.5000
Mg  0.0000  0.0000  0.0000

2:
MgC4 at its PBEsol-relaxed geometry, computed with meta-GGA SCAN.

Values from the calculation:
As for the space group: No. 164. The total magnetic moment comes out at 0.00 μB/cell.

Unit cell a=2.6254 b=2.6254 c=6.5982 alpha=90.00 beta=90.00 gamma=120.00
Element x y z (fractional)
C  0.3333  0.6667  0.2353
C  0.6667  0.3333  0.7647
C  0.3333  0.6667  0.4557
C  0.6667  0.3333  0.5443
Mg  0.0000  0.0000  0.0000

Most stable to least stable, the ends of the list are 2 and 1.

1:
MgC at its PBEsol-relaxed geometry, computed with meta-GGA SCAN.

Values from the calculation:
As for the space group: No. 63. The total magnetic moment comes out at 0.00 μB/cell.

Unit cell a=2.6153 b=3.1138 c=6.1444 alpha=104.68 beta=90.00 gamma=90.00
Element x y z (fractional)
C  0.7500  0.5298  0.0597
C  0.2500  0.4702  0.9403
Mg  0.7500  0.8659  0.7317
Mg  0.2500  0.1341  0.2683

2:
MgC at its PBEsol-relaxed geometry, computed with meta-GGA SCAN.

Values from the calculation:
As for the space group: No. 221. The total magnetic moment comes out at 0.00 μB/cell.

Unit cell a=4.4158 b=4.4158 c=4.4158 alpha=90.00 beta=90.00 gamma=90.00
Element x y z (fractional)
C  0.0000  0.5000  0.5000
C  0.5000  0.5000  0.0000
C  0.5000  0.0000  0.5000
Mg  0.0000  0.0000  0.5000
Mg  0.5000  0.0000  0.0000
Mg  0.0000  0.5000  0.0000

3:
MgC at its PBEsol-relaxed geometry, computed with meta-GGA SCAN.

Values from the calculation:
As for the space group: No. 123. The total magnetic moment comes out at 0.00 μB/cell.

Unit cell a=4.4402 b=4.4581 c=4.4581 alpha=90.00 beta=90.00 gamma=90.00
Element x y z (fractional)
Mg  0.0000  0.0000  0.5000
Mg  0.5000  0.5000  0.5000
Mg  0.0000  0.5000  0.0000
C  0.5000  0.0000  0.5000
C  0.5000  0.5000  0.0000
C  0.0000  0.5000  0.5000

Most stable to least stable, the ends of the list are 1 and 2.

1:
MgC2 at its PBEsol-relaxed geometry, computed with meta-GGA SCAN.

Values from the calculation:
As for the space group: No. 194. The total magnetic moment comes out at 0.00 μB/cell.

Unit cell a=2.5933 b=2.5933 c=10.7421 alpha=90.00 beta=90.00 gamma=120.00
Element x y z (fractional)
Mg  0.6667  0.3333  0.2500
Mg  0.3333  0.6667  0.7500
C  0.3333  0.6667  0.0017
C  0.6667  0.3333  0.9983
C  0.3333  0.6667  0.4983
C  0.6667  0.3333  0.5017

2:
MgC2 at its PBEsol-relaxed geometry, computed with meta-GGA SCAN.

Values from the calculation:
As for the space group: No. 71. The total magnetic moment comes out at 0.00 μB/cell.

Unit cell a=3.2817 b=3.6762 c=3.6763 alpha=76.73 beta=63.49 gamma=63.49
Element x y z (fractional)
C  0.5000  0.6377  0.3623
C  0.5000  0.3623  0.6377
Mg  0.0000  0.0000  0.0000

3:
MgC2 at its PBEsol-relaxed geometry, computed with meta-GGA SCAN.

Values from the calculation:
As for the space group: No. 136. The total magnetic moment comes out at 1.31 μB/cell.

Unit cell a=2.3652 b=5.7053 c=5.7053 alpha=90.00 beta=90.00 gamma=90.00
Last column: magnetic moment on the atom in μB.
Element x y z (fractional)
Mg  0.0000  0.5000  0.5000  0.03
Mg  0.5000  0.0000  0.0000  0.03
C  0.5000  0.2668  0.7332  0.19
C  0.0000  0.7668  0.7668  0.19
C  0.0000  0.2332  0.2332  0.19
C  0.5000  0.7332  0.2668  0.19

4:
MgC2 at its PBEsol-relaxed geometry, computed with meta-GGA SCAN.

Values from the calculation:
As for the space group: No. 140. The total magnetic moment comes out at 0.26 μB/cell.

Unit cell a=4.5940 b=4.5940 c=4.5940 alpha=98.91 beta=114.99 gamma=114.99
Element x y z (fractional)
C  0.6809  0.0904  0.5904
C  0.5000  0.5904  0.9096
C  0.3191  0.9096  0.4096
C  0.5000  0.4096  0.0904
Mg  0.0000  0.2500  0.2500
Mg  0.0000  0.7500  0.7500

Most stable to least stable, the ends of the list are 2 and 3.

1:
MgSc3C at its PBEsol-relaxed geometry, computed with meta-GGA SCAN.

Values from the calculation:
As for the space group: No. 221. The total magnetic moment comes out at 1.00 μB/cell.

Unit cell a=4.5713 b=4.5713 c=4.5713 alpha=90.00 beta=90.00 gamma=90.00
Last column: magnetic moment on the atom in μB.
Element x y z (fractional)
C  0.5000  0.5000  0.5000  -0.03
Sc  0.0000  0.5000  0.5000  0.16
Sc  0.5000  0.0000  0.5000  0.16
Sc  0.5000  0.5000  0.0000  0.16
Mg  0.0000  0.0000  0.0000  0.04

2:
MgSc3C at its PBEsol-relaxed geometry, computed with meta-GGA SCAN.

Values from the calculation:
As for the space group: No. 221. The total magnetic moment comes out at 0.01 μB/cell.

Unit cell a=4.9907 b=4.9907 c=4.9907 alpha=90.00 beta=90.00 gamma=90.00
Element x y z (fractional)
Sc  0.5000  0.0000  0.0000
Sc  0.0000  0.0000  0.5000
Sc  0.0000  0.5000  0.0000
C  0.5000  0.5000  0.5000
Mg  0.0000  0.0000  0.0000

Most stable to least stable, the ends of the list are 1 and 2.

1:
MnC2 at its PBEsol-relaxed geometry, computed with meta-GGA SCAN.

Values from the calculation:
As for the space group: No. 189. The total magnetic moment comes out at 0.00 μB/cell.

Unit cell a=2.6636 b=5.2687 c=5.2687 alpha=120.00 beta=90.00 gamma=90.00
Element x y z (fractional)
C  0.0000  0.0000  0.2707
C  0.0000  0.7293  0.7293
C  0.5000  0.0000  0.6274
C  0.5000  0.6274  0.0000
C  0.0000  0.2707  0.0000
C  0.5000  0.3726  0.3726
Mn  0.5000  0.0000  0.0000
Mn  0.0000  0.6667  0.3333
Mn  0.0000  0.3333  0.6667

2:
MnC2 at its PBEsol-relaxed geometry, computed with meta-GGA SCAN.

Values from the calculation:
As for the space group: No. 8. The total magnetic moment comes out at 1.39 μB/cell.

Unit cell a=2.5021 b=4.1791 c=4.5523 alpha=89.24 beta=105.95 gamma=90.00
Last column: magnetic moment on the atom in μB.
Element x y z (fractional)
C  0.3706  0.7180  0.7413  0.05
C  0.5461  0.7583  0.0923  -0.07
C  0.3418  0.3767  0.6836  -0.04
C  0.1013  0.9126  0.2027  -0.01
Mn  0.0327  0.3523  0.0654  2.62
Mn  0.7740  0.0487  0.5481  -1.15

Most stable to least stable, the ends of the list are 2 and 1.